4
Lattice="-3.4383 3.0585 1.4280 -3.0060 1.9266 -3.2354 -4.6227 -1.3550 -0.0996" Properties=species:S:1:pos:R:3 comment="Tm2ZnFe (PBE, optimized geometry)" e_form_ev_per_atom=-0.108 mass_density_g_cm3=9.639 dft_energy_ev_per_atom=-4.7776 volume_a3_per_cell=79 pbc="T T T"
Zn -5.5335 1.8151 -0.9535
Fe 0.0000 0.0000 0.0000
Tm -8.3002 2.7226 -1.4302
Tm -2.7667 0.9075 -0.4767

16
Lattice="-3.2572 -1.2368 0.2881 2.7570 -3.3425 -4.3897 3.6158 -7.6384 8.0871" Properties=species:S:1:pos:R:3 comment="Tb2PrReN4 (PBE, optimized geometry)" e_form_raw_mev_per_atom=-1011 mass_density_g_cm3=9.625 dft_energy_ev_per_atom=-8.4850 volume_a3_per_cell=242 pbc="T T T"
Pr 0.1406 -5.5653 -1.0898
Pr 2.9749 -6.6524 5.0753
N 1.9390 -4.9268 0.7721
N 3.6932 -9.1737 2.3727
N 1.8079 -3.8192 4.0435
N -0.5777 -3.0440 1.6128
N 1.0573 -3.0640 -1.2001
N 0.0000 0.0000 0.0000
N 2.0583 -9.1537 5.1856
N 1.1765 -7.2908 3.2134
Re 1.2340 -3.0683 0.7798
Re 1.8815 -9.1494 3.2057
Tb -1.1895 -1.9603 -0.6519
Tb 0.3329 -5.1765 2.7532
Tb 2.7826 -7.0412 1.2323
Tb 4.3050 -10.2573 4.6374

12
Lattice="-1.3927 2.4212 -3.1763 -11.4230 -2.3398 3.2249 0.0243 2.6363 1.9989" Properties=species:S:1:pos:R:3 comment="ZnTc (PBE, optimized geometry)" e_form_ev_per_atom=0.100 mass_density_g_cm3=9.616 dft_energy_ev_per_atom=-5.7199 volume_a3_per_cell=169 pbc="T T T"
Tc -5.6993 0.1483 2.6119
Tc -7.7359 -1.5845 2.1840
Tc -3.6871 -0.7552 1.0409
Tc -2.7207 0.7960 -1.0166
Tc -0.6842 2.5288 -0.5887
Tc -10.0949 -0.7145 1.0652
Zn 0.0000 0.0000 0.0000
Zn -8.1564 0.9982 1.5209
Zn -9.6501 -0.6609 3.7273
Zn -4.6349 1.7195 0.5267
Zn -1.7486 0.9575 1.4966
Zn -6.4078 0.0407 0.0243

4
Lattice="0.0000 3.5691 3.5691 3.5691 0.0000 3.5691 3.5691 3.5691 0.0000" Properties=species:S:1:pos:R:3 comment="BaYRe2 (PBE, optimized geometry)" e_form_ev_per_atom=1.360 mass_density_g_cm3=10.932 dft_energy_ev_per_atom=-6.9605 volume_a3_per_cell=91 pbc="T T T"
Ba 3.5691 3.5691 3.5691
Re 5.3537 5.3537 5.3537
Re 1.7846 1.7846 1.7846
Y 0.0000 0.0000 0.0000

16
Lattice="-3.7245 2.2192 -5.9102 -3.0324 -4.7696 4.6671 -4.5240 8.9570 6.2143" Properties=species:S:1:pos:R:3 comment="TbPm14Pr (PBE, optimized geometry)" e_form_ev_per_atom=0.000 mass_density_g_cm3=7.046 dft_energy_ev_per_atom=-4.7448 volume_a3_per_cell=549 pbc="T T T"
Pm -5.1708 6.9490 3.0242
Pm -4.4172 0.0804 2.2438
Pm -8.5416 5.6767 2.4041
Pm -3.0613 -4.4780 4.2258
Pm -3.9275 3.5452 3.2399
Pm -1.5414 -2.0907 1.8913
Pm -7.2953 2.2740 2.6204
Pm -6.6910 4.5821 5.3671
Pm -4.7750 3.5950 -3.0227
Pm -6.2832 1.2053 -0.6980
Pm -2.9124 2.4776 -0.0780
Pm -7.0246 8.0490 0.0674
Pm -3.4076 -0.9806 -1.0673
Pm -4.9274 -3.3687 1.2684
Tb -5.7844 4.6567 0.2860
Pr -5.4387 1.1660 5.5690

72
Lattice="9.7060 0.0373 0.0395 4.4758 9.1378 0.0845 1.7461 1.7634 10.0406" Properties=species:S:1:pos:R:3 comment="InGe2PH24C8 (PBE, optimized geometry)" mass_density_g_cm3=1.540 dft_energy_ev_per_atom=-4.9266 volume_a3_per_cell=887 pbc="T T T"
In 12.5898 4.9374 9.3731
In 3.3381 6.0011 0.7915
H 10.1343 9.7954 8.8705
H 9.9483 4.1606 9.5753
H 4.1787 6.1831 4.9009
H 7.8620 2.1049 7.0386
H 12.6002 8.0153 2.7014
H 11.3750 9.4608 10.1099
H 11.7492 4.7554 5.2637
H 5.7936 1.1431 1.2941
H 5.7331 6.8030 4.2772
H 8.8599 5.7138 2.0607
H 8.2385 2.4860 3.9764
H 6.7171 9.2616 2.0403
H 10.7393 7.1665 6.3894
H 7.0679 5.2247 8.1039
H 11.0915 7.8124 1.7688
H 4.0755 2.8888 4.8558
H 4.8364 3.1262 8.3958
H 9.2766 1.2272 6.3978
H 8.0659 8.8336 3.1260
H 5.5259 2.0735 4.2078
H 8.3027 4.0874 0.0974
H 5.9796 6.7780 0.5893
H 11.4711 2.9968 5.3974
H 10.3711 8.1301 9.4642
H 11.8524 8.0498 5.3088
H 8.3756 5.6303 3.7740
H 7.6894 8.4526 6.1882
H 12.4601 8.7258 1.0732
H 7.6252 6.8512 10.0672
H 9.5345 1.4695 3.2848
H 4.4568 7.9418 4.7672
H 5.8688 5.4514 1.7724
H 5.1886 3.7720 3.7752
H 7.5523 5.3082 6.3906
H 6.3934 9.4690 6.8798
H 5.5568 2.8084 0.7004
H 6.0531 4.4534 6.8516
H 10.0591 5.4871 8.3923
H 8.4941 2.4368 2.2096
H 7.4338 8.5018 7.9550
H 9.2108 1.6769 8.1243
H 6.6513 9.7113 3.7668
H 9.8748 6.4851 3.3130
H 3.3277 2.9233 7.4632
H 4.5529 1.4778 0.0547
H 10.4020 8.8650 5.9568
H 10.1948 4.1355 5.8874
H 3.4678 2.2128 9.0914
P 13.7388 7.1840 8.5040
P 2.1891 3.7545 1.6606
C 5.5274 5.7960 0.7866
C 6.9304 8.5178 6.9807
C 8.9975 2.4208 3.1839
C 8.6160 1.3381 7.2668
C 5.0452 1.8715 0.9511
C 9.2344 5.6235 3.0874
C 4.7293 2.7968 3.9806
C 3.7442 3.0746 8.4681
C 11.1986 8.1418 6.1840
C 4.9267 6.9791 5.0035
C 10.8827 9.0670 9.2135
C 10.4005 5.1425 9.3780
C 12.1837 7.8640 1.6965
C 11.0012 3.9595 5.1611
C 7.3119 9.6004 2.8978
C 6.6935 5.3150 7.0772
Ge 3.7441 2.1610 2.3943
Ge 10.2328 3.9465 3.3455
Ge 12.1838 8.7776 7.7703
Ge 5.6951 6.9920 6.8191